The following is a PBE calculation of crystalline BP3 at its relaxed geometry, from the Alexandria database.

Structure (POSCAR):
```
BP3
1.0
-0.504 3.368 -4.329
2.385 -1.585 -1.511
-3.253 -4.431 -0.487
B P
1 3
direct
0.345 0.000 0.898
0.744 0.500 0.737
0.173 0.500 0.862
0.723 0.000 0.011
```

Its raw total energy is -0.2068 hartree per atom. As for the crystal system: monoclinic. The symmetry is No. 6. The calculation puts the formation energy at 0.10 eV per atom.